12
Lattice="-7.371 -4.030 0.479 2.148 -4.397 -3.942 1.692 -2.636 3.863" Properties=species:S:1:pos:R:3 comment="LiCaTa | the Alexandria database | PBE-GGA | relaxed" density_g_cm3=5.76 magnetic_moment_mub_per_atom=0.000 final_energy_ev_per_atom=-4.158 n_ef_per_ev_cell=7.571 pbc="T T T"
Ta -1.981 -2.476 -0.821
Ta -1.551 -8.587 1.222
Ta 1.289 -5.255 -0.948
Ta -4.820 -5.808 1.349
Li -3.641 -7.949 -0.629
Li 0.110 -3.114 1.030
Li -0.801 -4.617 -2.799
Li -2.730 -6.446 3.200
Ca -1.766 -5.532 0.200
Ca -2.839 -3.333 2.171
Ca 0.000 0.000 0.000
Ca 1.074 -2.199 -1.971

14
Lattice="8.775 0.000 0.000 4.387 7.599 0.000 4.387 2.533 7.192" Properties=species:S:1:pos:R:3 comment="SrCeNd4Se8 | the Alexandria database | PBE-GGA | relaxed" density_g_cm3=4.97 formation_energy_uncorrected_ev_per_fu=-25.02 magnetic_moment_mub_per_atom=0.101 final_energy_ev_per_atom=-5.684 n_ef_per_ev_cell=10.527 pbc="T T T"
Se 6.373 3.679 5.301
Se 8.775 7.840 5.301
Se 11.098 6.408 1.864
Se 11.177 3.679 5.301
Se 8.775 2.383 1.864
Se 13.162 7.599 5.229
Se 6.452 6.408 1.864
Se 4.387 2.533 2.045
Nd 8.775 5.066 0.899
Nd 4.387 5.033 3.606
Nd 2.222 1.283 3.606
Nd 6.553 1.283 3.606
Ce 4.387 2.533 7.169
Sr 8.775 5.066 6.287